# 1
## Li2LaBe (PBE)

Data for a relaxed structure of Li2LaBe.

## Properties
E_tot: -11.28 eV/cell
calculated formation energy: 0.299 eV/atom
magnetic moment: 0.0 μB/cell
SG: No. 10

a b c (Å): 3.3211 5.1098 5.0698
angles (deg): 90.00 93.67 90.00
Last column: nearest neighbours and their distance in Å.
Atoms (fractional coordinates):
Li1 0.1808 0.0000 0.2957  1 Li 2.46
Li2 0.8192 0.0000 0.7043  1 Li 2.46
La1 0.5000 0.5000 0.0000  4 Be 2.94-3.12, 4 Li 3.18
Be1 0.0000 0.5000 0.5000  4 Li 2.84, 4 La 2.94-3.12

***

# 2
## LiZrMo (PBE)

Data for a relaxed structure of LiZrMo.

## Properties
E_tot: -69.15 eV/cell
calculated formation energy: 1.335 eV/atom
magnetic moment: 6.0 μB/cell
SG: No. 216

a b c (Å): 6.3444 6.3444 6.3444
angles (deg): 90.00 90.00 90.00
Last column: nearest neighbours and their distance in Å.
Atoms (fractional coordinates):
Li1 0.0000 0.0000 0.0000  4 Zr 2.75
Li2 0.0000 0.5000 0.5000  4 Zr 2.75
Li3 0.5000 0.0000 0.5000  4 Zr 2.75
Li4 0.5000 0.5000 0.0000  4 Zr 2.75
Zr1 0.2500 0.2500 0.7500  4 Mo 2.75, 4 Li 2.75
Zr2 0.2500 0.7500 0.2500  4 Mo 2.75, 4 Li 2.75
Zr3 0.7500 0.2500 0.2500  4 Mo 2.75, 4 Li 2.75
Zr4 0.7500 0.7500 0.7500  4 Mo 2.75, 4 Li 2.75
Mo1 0.0000 0.0000 0.5000  4 Zr 2.75
Mo2 0.0000 0.5000 0.0000  4 Zr 2.75
Mo3 0.5000 0.0000 0.0000  4 Zr 2.75
Mo4 0.5000 0.5000 0.5000  4 Zr 2.75

***

# 3
## Sr2LiSn4Au3 (PBE)

Data for a relaxed structure of Sr2LiSn4Au3.

## Properties
E_tot: -36.68 eV/cell
calculated formation energy: -0.556 eV/atom
magnetic moment: 0.0 μB/cell
SG: No. 115

a b c (Å): 4.6729 4.6729 11.7230
angles (deg): 90.00 90.00 90.00
Last column: nearest neighbours and their distance in Å.
Atoms (fractional coordinates):
Sr1 0.0000 0.5000 0.2424  8 Sn 3.57-3.82, 6 Au 3.58-3.68, 2 Li 3.68
Sr2 0.5000 0.0000 0.7576  8 Sn 3.57-3.82, 6 Au 3.58-3.68, 2 Li 3.68
Li1 0.5000 0.5000 0.0000  4 Sn 2.78
Sn1 0.0000 0.0000 0.5000  4 Au 2.86
Sn2 0.0000 0.5000 0.8721  3 Au 2.71-2.78, 2 Li 2.78
Sn3 0.5000 0.0000 0.1279  3 Au 2.71-2.78, 2 Li 2.78
Sn4 0.5000 0.5000 0.5000  4 Au 2.86
Au1 0.0000 0.0000 0.0000  4 Sn 2.78
Au2 0.0000 0.5000 0.6409  5 Sn 2.71-2.86
Au3 0.5000 0.0000 0.3591  5 Sn 2.71-2.86

***

# 4
## PaMn3Ge3 (PBE)

Data for a relaxed structure of PaMn3Ge3.

## Properties
E_tot: -95.19 eV/cell
calculated formation energy: 0.466 eV/atom
magnetic moment: 21.5 μB/cell
SG: No. 223

a b c (Å): 6.6144 6.6144 6.6144
angles (deg): 90.00 90.00 90.00
Last column: nearest neighbours and their distance in Å.
Atoms (fractional coordinates):
Pa1 0.0000 0.0000 0.0000  12 Ge 3.70, 12 Mn 3.70
Pa2 0.5000 0.5000 0.5000  12 Ge 3.70, 12 Mn 3.70
Mn1 0.0000 0.2500 0.5000  4 Ge 2.34
Mn2 0.0000 0.7500 0.5000  4 Ge 2.34
Mn3 0.2500 0.5000 0.0000  4 Ge 2.34
Mn4 0.5000 0.0000 0.2500  4 Ge 2.34
Mn5 0.5000 0.0000 0.7500  4 Ge 2.34
Mn6 0.7500 0.5000 0.0000  4 Ge 2.34
Ge1 0.0000 0.5000 0.2500  4 Mn 2.34
Ge2 0.0000 0.5000 0.7500  4 Mn 2.34
Ge3 0.2500 0.0000 0.5000  4 Mn 2.34
Ge4 0.5000 0.2500 0.0000  4 Mn 2.34
Ge5 0.5000 0.7500 0.0000  4 Mn 2.34
Ge6 0.7500 0.0000 0.5000  4 Mn 2.34

***

# 5
## LaSm3Er6 (PBE)

Data for a relaxed structure of LaSm3Er6.

## Properties
E_tot: -90.09 eV/cell
calculated formation energy: 0.142 eV/atom
magnetic moment: 0.0 μB/cell
SG: No. 36

a b c (Å): 9.0373 9.0373 8.9681
angles (deg): 90.00 90.00 116.70
Last column: nearest neighbours and their distance in Å.
Atoms (fractional coordinates):
La1 0.2262 0.7738 0.5000  6 Er 3.28-3.52, 1 Sm 3.61
La2 0.7738 0.2262 0.0000  6 Er 3.28-3.52, 1 Sm 3.61
Sm1 0.0285 0.3134 0.5665  2 Sm 3.24-3.47, 5 Er 3.31-3.53
Sm2 0.3134 0.0285 0.0665  2 Sm 3.24-3.47, 5 Er 3.31-3.53
Sm3 0.4555 0.5445 0.5838  7 Er 3.39-3.78, 2 Sm 3.47, 1 La 3.61
Sm4 0.5445 0.4555 0.0838  7 Er 3.39-3.78, 2 Sm 3.47, 1 La 3.61
Sm5 0.6866 0.9715 0.5665  2 Sm 3.24-3.47, 5 Er 3.31-3.53
Sm6 0.9715 0.6866 0.0665  2 Sm 3.24-3.47, 5 Er 3.31-3.53
Er1 0.0533 0.9467 0.7148  1 La 3.28, 6 Er 3.31-3.62, 2 Sm 3.67
Er2 0.1714 0.4717 0.2294  3 Sm 3.35-3.68, 4 Er 3.35-3.68, 1 La 3.52
Er3 0.1775 0.2996 0.9000  3 Sm 3.31-3.53, 5 Er 3.31-3.68, 1 La 3.52
Er4 0.2918 0.7082 0.8614  3 Sm 3.36-3.54, 2 Er 3.38, 1 La 3.39
Er5 0.2996 0.1775 0.4000  3 Sm 3.31-3.53, 5 Er 3.31-3.68, 1 La 3.52
Er6 0.4717 0.1714 0.7294  3 Sm 3.35-3.68, 4 Er 3.35-3.68, 1 La 3.52
Er7 0.5283 0.8286 0.2294  3 Sm 3.35-3.68, 4 Er 3.35-3.68, 1 La 3.52
Er8 0.7004 0.8225 0.9000  3 Sm 3.31-3.53, 5 Er 3.31-3.68, 1 La 3.52
Er9 0.7082 0.2918 0.3614  3 Sm 3.36-3.54, 2 Er 3.38, 1 La 3.39
Er10 0.8225 0.7004 0.4000  3 Sm 3.31-3.53, 5 Er 3.31-3.68, 1 La 3.52
Er11 0.8286 0.5283 0.7294  3 Sm 3.35-3.68, 4 Er 3.35-3.68, 1 La 3.52
Er12 0.9467 0.0533 0.2148  1 La 3.28, 6 Er 3.31-3.62, 2 Sm 3.67

***

# 6
## KNi2As (PBE)

Data for a relaxed structure of KNi2As.

## Properties
E_tot: -68.68 eV/cell
calculated formation energy: 0.035 eV/atom
magnetic moment: 1.8 μB/cell
SG: No. 141

a b c (Å): 4.9968 4.9968 15.1400
angles (deg): 90.00 90.00 90.00
Last column: nearest neighbours and their distance in Å.
Atoms (fractional coordinates):
K1 0.0000 0.2500 0.3750  8 Ni 3.37, 4 As 3.53
K2 0.0000 0.7500 0.6250  8 Ni 3.37, 4 As 3.53
K3 0.5000 0.2500 0.1250  8 Ni 3.37, 4 As 3.53
K4 0.5000 0.7500 0.8750  8 Ni 3.37, 4 As 3.53
Ni1 0.0000 0.0000 0.0000  2 As 2.27, 2 Ni 2.50
Ni2 0.0000 0.5000 0.0000  2 As 2.27, 2 Ni 2.50
Ni3 0.2500 0.2500 0.7500  2 As 2.27, 2 Ni 2.50
Ni4 0.2500 0.7500 0.2500  2 As 2.27, 2 Ni 2.50
Ni5 0.5000 0.0000 0.5000  2 As 2.27, 2 Ni 2.50
Ni6 0.5000 0.5000 0.5000  2 As 2.27, 2 Ni 2.50
Ni7 0.7500 0.2500 0.7500  2 As 2.27, 2 Ni 2.50
Ni8 0.7500 0.7500 0.2500  2 As 2.27, 2 Ni 2.50
As1 0.0000 0.2500 0.8750  4 Ni 2.27
As2 0.0000 0.7500 0.1250  4 Ni 2.27
As3 0.5000 0.2500 0.6250  4 Ni 2.27
As4 0.5000 0.7500 0.3750  4 Ni 2.27

***

# 7
## Nd2MgAl3Zn4 (PBE)

Data for a relaxed structure of Nd2MgAl3Zn4.

## Properties
E_tot: -31.13 eV/cell
calculated formation energy: -0.368 eV/atom
magnetic moment: 0.0 μB/cell
SG: No. 115

a b c (Å): 4.3133 4.3133 10.8516
angles (deg): 90.00 90.00 90.00
Last column: nearest neighbours and their distance in Å.
Atoms (fractional coordinates):
Nd1 0.0000 0.5000 0.2382  6 Al 3.27-3.57, 8 Zn 3.31-3.37, 2 Mg 3.57
Nd2 0.5000 0.0000 0.7618  6 Al 3.27-3.57, 8 Zn 3.31-3.37, 2 Mg 3.57
Mg1 0.0000 0.0000 0.5000  4 Zn 2.65
Al1 0.0000 0.5000 0.8700  5 Zn 2.47-2.58
Al2 0.5000 0.0000 0.1300  5 Zn 2.47-2.58
Al3 0.5000 0.5000 0.5000  4 Zn 2.65
Zn1 0.0000 0.0000 0.0000  4 Al 2.58
Zn2 0.0000 0.5000 0.6425  3 Al 2.47-2.65, 2 Mg 2.65
Zn3 0.5000 0.0000 0.3575  3 Al 2.47-2.65, 2 Mg 2.65
Zn4 0.5000 0.5000 0.0000  4 Al 2.58

***

# 8
## ScOs2Cl (PBE)

Data for a relaxed structure of ScOs2Cl.

## Properties
E_tot: -61.55 eV/cell
E_form (uncorrected): -3 kJ per mole of atoms
magnetic moment: 0.0 μB/cell
SG: No. 12

a b c (Å): 10.8983 2.9112 4.2079
angles (deg): 90.00 94.86 90.00
Last column: nearest neighbours and their distance in Å.
Atoms (fractional coordinates):
Sc1 0.0000 0.0000 0.0000  4 Cl 2.56, 4 Os 2.85
Sc2 0.5000 0.5000 0.0000  4 Cl 2.56, 4 Os 2.85
Os1 0.2145 0.5000 0.2257  4 Os 2.56-2.78, 1 Cl 2.69, 2 Sc 2.85
Os2 0.2855 0.0000 0.7743  4 Os 2.56-2.78, 1 Cl 2.69, 2 Sc 2.85
Os3 0.7145 0.0000 0.2257  4 Os 2.56-2.78, 1 Cl 2.69, 2 Sc 2.85
Os4 0.7855 0.5000 0.7743  4 Os 2.56-2.78, 1 Cl 2.69, 2 Sc 2.85
Cl1 0.0000 0.5000 0.5000  4 Sc 2.56, 2 Os 2.69
Cl2 0.5000 0.0000 0.5000  4 Sc 2.56, 2 Os 2.69

***

# 9
## KRb2DyCl6 (PBE)

Data for a relaxed structure of KRb2DyCl6.

## Properties
E_tot: -39.78 eV/cell
E_form (uncorrected): -203 kJ per mole of atoms
magnetic moment: 0.0 μB/cell
SG: No. 225

a b c (Å): 7.9587 7.9587 7.9587
angles (deg): 60.00 60.00 60.00
Last column: nearest neighbours and their distance in Å.
Atoms (fractional coordinates):
K1 0.0000 0.0000 0.0000  6 Cl 2.99
Rb1 0.2500 0.2500 0.2500  12 Cl 3.98
Rb2 0.7500 0.7500 0.7500  12 Cl 3.98
Dy1 0.5000 0.5000 0.5000  6 Cl 2.63
Cl1 0.2660 0.2660 0.7340  1 Dy 2.63
Cl2 0.2660 0.7340 0.2660  1 Dy 2.63
Cl3 0.2660 0.7340 0.7340  1 Dy 2.63
Cl4 0.7340 0.2660 0.2660  1 Dy 2.63
Cl5 0.7340 0.2660 0.7340  1 Dy 2.63
Cl6 0.7340 0.7340 0.2660  1 Dy 2.63

***

# 10
## Li2UBr2N2 (PBE)

Data for a relaxed structure of Li2UBr2N2.

## Properties
E_tot: -86.65 eV/cell
E_form (uncorrected): -113 kJ per mole of atoms
magnetic moment: 0.0 μB/cell
SG: No. 139

a b c (Å): 4.1532 4.1532 18.0483
angles (deg): 90.00 90.00 90.00
Last column: nearest neighbours and their distance in Å.
Atoms (fractional coordinates):
Li1 0.0000 0.0000 0.0823  4 N 2.55
Li2 0.0000 0.0000 0.9177  4 N 2.55
Li3 0.5000 0.5000 0.4177  4 N 2.55
Li4 0.5000 0.5000 0.5823  4 N 2.55
U1 0.0000 0.0000 0.5000  4 N 2.08
U2 0.5000 0.5000 0.0000  4 N 2.08
Br1 0.0000 0.0000 0.3442  1 U 2.81
Br2 0.0000 0.0000 0.6558  1 U 2.81
Br3 0.5000 0.5000 0.1558  1 U 2.81
Br4 0.5000 0.5000 0.8442  1 U 2.81
N1 0.0000 0.5000 0.0000  2 U 2.08
N2 0.0000 0.5000 0.5000  2 U 2.08
N3 0.5000 0.0000 0.0000  2 U 2.08
N4 0.5000 0.0000 0.5000  2 U 2.08

***

# 11
## KTbTeS (PBE)

Data for a relaxed structure of KTbTeS.

## Properties
E_tot: -57.91 eV/cell
E_form (uncorrected): -152 kJ per mole of atoms
magnetic moment: 0.0 μB/cell
SG: No. 160

a b c (Å): 4.2405 4.2405 24.2396
angles (deg): 90.00 90.00 120.00
Last column: nearest neighbours and their distance in Å.
Atoms (fractional coordinates):
K1 0.0000 0.0000 0.0000  3 S 3.41, 3 Te 3.45, 1 Tb 3.77
K2 0.3333 0.6667 0.6667  3 S 3.41, 3 Te 3.45, 1 Tb 3.77
K3 0.6667 0.3333 0.3333  3 S 3.41, 3 Te 3.45, 1 Tb 3.77
Tb1 0.0000 0.0000 0.1554  3 S 2.82, 3 Te 3.09
Tb2 0.3333 0.6667 0.8220  3 S 2.82, 3 Te 3.09
Tb3 0.6667 0.3333 0.4887  3 S 2.82, 3 Te 3.09
Te1 0.0000 0.0000 0.5664  3 Tb 3.09, 3 K 3.45
Te2 0.3333 0.6667 0.2330  3 Tb 3.09, 3 K 3.45
Te3 0.6667 0.3333 0.8997  3 Tb 3.09, 3 K 3.45
S1 0.0000 0.0000 0.7645  3 Tb 2.82
S2 0.3333 0.6667 0.4312  3 Tb 2.82
S3 0.6667 0.3333 0.0979  3 Tb 2.82

***

# 12
## NaIn2IrPb (PBE)

Data for a relaxed structure of NaIn2IrPb.

## Properties
E_tot: -19.22 eV/cell
calculated formation energy: 0.029 eV/atom
magnetic moment: 0.0 μB/cell
SG: No. 123

a b c (Å): 5.2228 5.2228 5.3930
angles (deg): 90.00 90.00 90.00
Last column: nearest neighbours and their distance in Å.
Atoms (fractional coordinates):
Na1 0.0000 0.0000 0.0000  4 Pb 3.69, 8 In 3.75
In1 0.0000 0.5000 0.5000  2 Ir 2.61
In2 0.5000 0.0000 0.5000  2 Ir 2.61
Ir1 0.5000 0.5000 0.5000  4 In 2.61, 2 Pb 2.70
Pb1 0.5000 0.5000 0.0000  2 Ir 2.70